1.
# TlSiAu2 (PBE-GGA, relaxed)
data_TlSiAu2
_space_group_name_H-M_alt 'P 4 m m'
_space_group_IT_number 99
_cell_length_a 3.647
_cell_length_b 3.647
_cell_length_c 6.621
_cell_angle_alpha 90.00
_cell_angle_beta 90.00
_cell_angle_gamma 90.00
loop_
_space_group_symop_operation_xyz
'x,y,z'
'-y,x,z'
'-x,-y,z'
'y,-x,z'
'-x,y,z'
'y,x,z'
'x,-y,z'
'-y,-x,z'
loop_
_atom_site_label
_atom_site_type_symbol
_atom_site_fract_x
_atom_site_fract_y
_atom_site_fract_z
Tl1 Tl 0.000 0.000 0.000
Si1 Si 0.500 0.500 0.617
Au1 Au 0.000 0.000 0.539
Au2 Au 0.500 0.500 0.245
# **Density**: 11.813 Mg/m³
# **Crystal system**: tetragonal
# **ΔE_f (raw)**: 151 meV/atom
# **DOS at the Fermi energy**: 1.03 states/eV/f.u.
# **Electronic total energy**: -3.4346 eV per atom


2.
# Tb5Pr2In (PBE-GGA, relaxed)
data_Tb5Pr2In
_space_group_name_H-M_alt 'I 4/m m m'
_space_group_IT_number 139
_space_group_name_Hall '-I 4 2'
_cell_length_a 7.061
_cell_length_b 7.061
_cell_length_c 10.137
_cell_angle_alpha 90.00
_cell_angle_beta 90.00
_cell_angle_gamma 90.00
loop_
_atom_site_label
_atom_site_type_symbol
_atom_site_fract_x
_atom_site_fract_y
_atom_site_fract_z
Tb1 Tb 0.000 0.000 0.000
Tb2 Tb 0.250 0.250 0.250
Pr1 Pr 0.000 0.500 0.000
In1 In 0.000 0.000 0.500
# **Density**: 7.828 Mg/m³
# **Crystal system**: tetragonal
# **DOS at the Fermi energy**: 10.26 states/eV/f.u.
# **Energy of formation**: -0.08 eV per atom
# **Electronic total energy**: -4.5078 eV per atom


3.
# KHfV2Sb (PBE-GGA, relaxed)
data_KHfV2Sb
_space_group_name_H-M_alt 'P 4/m m m'
_space_group_IT_number 123
_space_group_name_Hall '-P 4 2'
_cell_length_a 5.118
_cell_length_b 5.118
_cell_length_c 5.755
_cell_angle_alpha 90.00
_cell_angle_beta 90.00
_cell_angle_gamma 90.00
loop_
_atom_site_label
_atom_site_type_symbol
_atom_site_fract_x
_atom_site_fract_y
_atom_site_fract_z
K1 K 0.000 0.000 0.000
Hf1 Hf 0.500 0.500 0.000
V1 V 0.000 0.500 0.500
Sb1 Sb 0.000 0.000 0.500
# **Density**: 4.861 Mg/m³
# **Crystal system**: tetragonal
# **ΔE_f (raw)**: 1559 meV/atom
# **DOS at the Fermi energy**: 3.93 states/eV/f.u.
# **Electronic total energy**: -5.1236 eV per atom


4.
# Sr2Li2Ge (PBE-GGA, relaxed)
data_Sr2Li2Ge
_space_group_name_H-M_alt 'I 4/m m m'
_space_group_IT_number 139
_space_group_name_Hall '-I 4 2'
_cell_length_a 3.856
_cell_length_b 3.856
_cell_length_c 20.571
_cell_angle_alpha 90.00
_cell_angle_beta 90.00
_cell_angle_gamma 90.00
loop_
_atom_site_label
_atom_site_type_symbol
_atom_site_fract_x
_atom_site_fract_y
_atom_site_fract_z
Sr1 Sr 0.000 0.000 0.092
Li1 Li 0.000 0.500 0.250
Ge1 Ge 0.000 0.000 0.500
# **Density**: 2.842 Mg/m³
# **Crystal system**: tetragonal
# **DOS at the Fermi energy**: 3.70 states/eV/f.u.
# **Energy of formation**: -0.15 eV per atom
# **Electronic total energy**: -2.5130 eV per atom


5.
# Tm8AgGe3Te4 (PBE-GGA, relaxed)
data_Tm8AgGe3Te4
_space_group_name_H-M_alt 'R -3 m'
_space_group_IT_number 166
_space_group_name_Hall '-R 3 2"'
_cell_length_a 8.3955
_cell_length_b 8.3955
_cell_length_c 21.0004
_cell_angle_alpha 90.00
_cell_angle_beta 90.00
_cell_angle_gamma 120.00
loop_
_atom_site_label
_atom_site_type_symbol
_atom_site_fract_x
_atom_site_fract_y
_atom_site_fract_z
Tm1 Tm 0.0000 0.0000 0.2388
Tm2 Tm 0.0111 0.5056 0.7586
Ag1 Ag 0.0000 0.0000 0.5000
Ge1 Ge 0.0000 0.5000 0.5000
Te1 Te 0.0000 0.0000 0.0000
Te2 Te 0.0000 0.5000 0.0000
# **Density**: 8.502 Mg/m³
# **Crystal system**: trigonal
# **ΔE_f (raw)**: -1008 meV/atom
# **DOS at the Fermi energy**: 7.33 states/eV/f.u.
# **Electronic total energy**: -5.0730 eV per atom


6.
# HfAs2F (PBE-GGA, relaxed)
data_HfAs2F
_space_group_name_H-M_alt 'F m -3 m'
_space_group_IT_number 225
_space_group_name_Hall '-F 4 2 3'
_cell_length_a 6.521
_cell_length_b 6.521
_cell_length_c 6.521
_cell_angle_alpha 90.00
_cell_angle_beta 90.00
_cell_angle_gamma 90.00
loop_
_atom_site_label
_atom_site_type_symbol
_atom_site_fract_x
_atom_site_fract_y
_atom_site_fract_z
Hf1 Hf 0.000 0.000 0.000
As1 As 0.250 0.250 0.250
F1 F 0.000 0.000 0.500
# **Density**: 8.321 Mg/m³
# **Crystal system**: cubic
# **ΔE_f (raw)**: -560 meV/atom
# **DOS at the Fermi energy**: 5.06 states/eV/f.u.
# **Electronic total energy**: -5.8408 eV per atom


7.
# TaTeF2 (PBE-GGA, relaxed)
data_TaTeF2
_space_group_name_H-M_alt 'I -4 2 d'
_space_group_IT_number 122
_space_group_name_Hall 'I -4 2bw'
_cell_length_a 4.367
_cell_length_b 4.367
_cell_length_c 14.432
_cell_angle_alpha 90.00
_cell_angle_beta 90.00
_cell_angle_gamma 90.00
loop_
_atom_site_label
_atom_site_type_symbol
_atom_site_fract_x
_atom_site_fract_y
_atom_site_fract_z
Ta1 Ta 0.000 0.000 0.000
Te1 Te 0.000 0.000 0.500
F1 F 0.045 0.250 0.125
# **Density**: 8.362 Mg/m³
# **Crystal system**: tetragonal
# **ΔE_f (raw)**: -1213 meV/atom
# **DOS at the Fermi energy**: 2.06 states/eV/f.u.
# **Electronic total energy**: -5.8968 eV per atom


8.
# Sb2Pd7Se2 (PBE-GGA, relaxed)
data_Sb2Pd7Se2
_space_group_name_H-M_alt 'C 1 2/m 1'
_space_group_IT_number 12
_cell_length_a 8.954
_cell_length_b 7.449
_cell_length_c 6.361
_cell_angle_alpha 90.00
_cell_angle_beta 100.33
_cell_angle_gamma 90.00
loop_
_space_group_symop_operation_xyz
'x,y,z'
'-x,-y,-z'
'-x,y,-z'
'x,-y,z'
'x+1/2,y+1/2,z'
'-x+1/2,-y+1/2,-z'
'-x+1/2,y+1/2,-z'
'x+1/2,-y+1/2,z'
loop_
_atom_site_label
_atom_site_type_symbol
_atom_site_fract_x
_atom_site_fract_y
_atom_site_fract_z
Sb1 Sb 0.000 0.206 0.000
Pd1 Pd 0.000 0.000 0.500
Pd2 Pd 0.011 0.500 0.759
Pd3 Pd 0.228 0.191 0.778
Se1 Se 0.234 0.500 0.556
# **Density**: 9.122 Mg/m³
# **Crystal system**: monoclinic
# **ΔE_f (raw)**: -241 meV/atom
# **DOS at the Fermi energy**: 5.19 states/eV/f.u.
# **Electronic total energy**: -4.9289 eV per atom